Computed, not measured: an optimized crystal structure of Sm5Ir2 at the PBEsol level of DFT.

```
14
Lattice="6.5044 0.0000 0.0000 0.0000 7.1613 0.0022 -3.2522 -0.9732 7.9844" Properties=species:S:1:pos:R:3 pbc="T T T"
Sm 3.7083 1.8250 3.5039
Ir 4.6138 3.8957 1.7790
Sm 0.7441 2.8326 1.4723
Ir 1.3616 5.8731 6.2088
Sm 5.7603 6.4132 1.4734
Sm 2.5081 3.3556 6.5143
Sm -0.4561 4.3631 4.4827
Sm 0.4561 0.7825 4.4816
Ir 1.8906 0.3150 1.7779
Sm -2.5081 -0.2251 6.5132
Sm 3.7146 1.7903 0.0005
Sm 2.7961 5.4056 3.5050
Ir -1.3616 2.2924 6.2077
Sm 2.7898 5.3710 0.0016
```

Calculated values
Crystal system: monoclinic
Formation energy (eV per atom): -0.5285
Calculated total energy (eV per atom): -6.973
DOS(E_F) (states/eV/atom): 0.96

***

Computed, not measured: an optimized crystal structure of Sm3Sn13Ir4 at the PBEsol level of DFT.

```
40
Lattice="9.6450 0.0000 0.0000 0.0000 9.6450 0.0000 0.0000 0.0000 9.6450" Properties=species:S:1:pos:R:3 pbc="T T T"
Sn 8.1840 0.0000 6.6747
Sn 3.3615 7.7928 4.8225
Sn 7.7928 4.8225 3.3615
Sn 1.8522 4.8225 3.3615
Ir 2.4112 7.2337 2.4112
Sn 7.7928 4.8225 6.2835
Sn 1.4610 0.0000 2.9703
Sn 0.0000 6.6747 1.4610
Sm 2.4112 4.8225 0.0000
Sn 4.8225 4.8225 4.8225
Sn 0.0000 6.6747 8.1840
Sm 4.8225 0.0000 7.2337
Sm 4.8225 0.0000 2.4112
Sn 4.8225 3.3615 1.8522
Ir 7.2337 2.4112 2.4112
Sn 2.9703 1.4610 0.0000
Ir 7.2337 7.2337 7.2337
Sm 0.0000 2.4112 4.8225
Sn 0.0000 2.9703 8.1840
Sn 2.9703 8.1840 0.0000
Sn 6.6747 8.1840 0.0000
Sm 7.2337 4.8225 0.0000
Sn 6.6747 1.4610 0.0000
Sn 0.0000 2.9703 1.4610
Sn 1.8522 4.8225 6.2835
Sn 6.2835 7.7928 4.8225
Sn 1.4610 0.0000 6.6747
Ir 2.4112 2.4112 7.2337
Sn 3.3615 1.8522 4.8225
Sn 4.8225 6.2835 7.7928
Sn 0.0000 0.0000 0.0000
Sm 0.0000 7.2337 4.8225
Sn 8.1840 0.0000 2.9703
Sn 6.2835 1.8522 4.8225
Sn 4.8225 3.3615 7.7928
Ir 2.4112 2.4112 2.4112
Ir 7.2337 2.4112 7.2337
Ir 2.4112 7.2337 7.2337
Sn 4.8225 6.2835 1.8522
Ir 7.2337 7.2337 2.4112
```

Calculated values
Crystal system: cubic
Formation energy (eV per atom): -0.5392
Calculated total energy (eV per atom): -6.036
DOS(E_F) (states/eV/atom): 0.35

***

Computed, not measured: an optimized crystal structure of TbSmIr2 at the PBEsol level of DFT.

```
4
Lattice="4.8391 0.0000 0.0000 2.4195 4.1908 0.0000 2.4195 1.3969 3.9511" Properties=species:S:1:pos:R:3 pbc="T T T"
Ir 7.2586 4.1908 2.9633
Ir 2.4195 1.3969 0.9878
Sm 4.8391 2.7939 1.9756
Tb 0.0000 0.0000 0.0000
```

Calculated values
Crystal system: cubic
Formation energy (eV per atom): -0.6640
Calculated total energy (eV per atom): -8.101
DOS(E_F) (states/eV/atom): 0.51

***

Computed, not measured: an optimized crystal structure of SmYIr2 at the PBEsol level of DFT.

```
4
Lattice="4.8318 0.0000 0.0000 2.4159 4.1845 0.0000 2.4159 1.3948 3.9452" Properties=species:S:1:pos:R:3 pbc="T T T"
Sm 4.8318 2.7897 1.9726
Y 0.0000 0.0000 0.0000
Ir 2.4159 1.3948 0.9863
Ir 7.2477 4.1845 2.9589
```

Calculated values
Crystal system: cubic
Formation energy (eV per atom): -0.6724
Calculated total energy (eV per atom): -8.563
DOS(E_F) (states/eV/atom): 0.52

***

Computed, not measured: an optimized crystal structure of Sm2ZnIr at the PBEsol level of DFT.

```
4
Lattice="-4.8805 0.2718 -0.8013 -2.5528 -4.0867 -1.1479 -3.1605 -1.9486 3.2787" Properties=species:S:1:pos:R:3 pbc="T T T"
Zn 0.0000 0.0000 0.0000
Sm -7.9453 -4.3226 0.9971
Sm -2.6484 -1.4409 0.3324
Ir -5.2969 -2.8817 0.6648
```

Calculated values
Crystal system: cubic
Formation energy (eV per atom): -0.4993
Calculated total energy (eV per atom): -5.897
DOS(E_F) (states/eV/atom): 0.49

***

Computed, not measured: an optimized crystal structure of SnIr at the PBEsol level of DFT.

```
4
Lattice="-1.6430 -0.4639 3.5895 -2.2106 -0.4568 -3.2717 1.2909 -5.4423 -0.1124" Properties=species:S:1:pos:R:3 pbc="T T T"
Sn -0.8640 -4.5432 1.2181
Ir 0.6455 -2.7211 -0.0562
Sn -1.6987 -1.8197 -1.0127
Ir 0.0000 0.0000 0.0000
```

Calculated values
Crystal system: hexagonal
Formation energy (eV per atom): -0.2170
Calculated total energy (eV per atom): -7.258
DOS(E_F) (states/eV/atom): 0.38

***

Computed, not measured: an optimized crystal structure of Sn4Ir at the PBEsol level of DFT.

```
20
Lattice="6.2973 0.0000 0.0000 0.0000 6.2973 0.0000 -3.1486 -3.1486 11.3945" Properties=species:S:1:pos:R:3 pbc="T T T"
Sn 2.0636 4.2396 1.4475
Sn 2.0636 1.0910 4.2497
Sn 4.2336 -1.0910 4.2497
Sn -1.0850 2.0577 4.2497
Sn -1.0910 4.2336 7.1448
Sn 1.0850 1.0910 1.4475
Sn 1.0910 2.0636 7.1448
Sn 5.2123 5.2063 1.4475
Ir 3.1486 0.0000 0.0000
Ir 3.1486 3.1486 5.6973
Sn 1.0850 4.2396 4.2497
Sn 4.2396 1.0850 7.1448
Sn 1.0910 1.0850 9.9470
Sn -2.0577 2.0636 9.9470
Ir 0.0000 3.1486 0.0000
Sn 2.0577 -2.0636 9.9470
Sn 2.0577 -1.0850 7.1448
Sn 4.2336 2.0577 1.4475
Ir 0.0000 0.0000 5.6973
Sn -1.0910 -1.0850 9.9470
```

Calculated values
Crystal system: tetragonal
Formation energy (eV per atom): -0.2279
Calculated total energy (eV per atom): -5.600
DOS(E_F) (states/eV/atom): 0.35

***

Computed, not measured: an optimized crystal structure of Sn7Ir3 at the PBEsol level of DFT.

```
20
Lattice="-1.2540 7.9466 1.0484 -3.6201 -4.1209 5.9778 7.9690 -1.5178 0.1093" Properties=species:S:1:pos:R:3 pbc="T T T"
Sn 2.0733 1.5461 4.7802
Ir -3.2032 2.5142 4.6175
Sn 0.9559 -1.8629 4.8001
Sn -1.1950 -1.3603 1.9732
Sn 1.0216 0.7618 2.3554
Sn -0.4139 2.6231 0.3461
Ir 4.4130 4.2249 0.7608
Sn -1.3498 0.5032 5.0349
Sn 5.3385 -1.0168 0.0732
Sn 4.4447 1.8047 2.1007
Ir -1.6709 1.3115 2.4087
Ir 2.3020 2.2039 0.3969
Ir 1.4909 -1.9330 2.0868
Sn 3.8532 -1.2122 3.3330
Sn -0.7583 3.5201 3.8025
Sn -0.8401 5.3235 0.7023
Sn -2.4251 -2.7606 4.0046
Sn 2.6305 -0.5010 0.0361
Ir 2.8580 -3.7057 4.0004
Sn 2.1390 4.1708 2.3354
```

Calculated values
Crystal system: cubic
Formation energy (eV per atom): -0.2991
Calculated total energy (eV per atom): -6.228
DOS(E_F) (states/eV/atom): 0.19

***

Computed, not measured: an optimized crystal structure of Sn2Ir at the PBEsol level of DFT.

```
3
Lattice="4.4811 0.0000 0.0000 2.2406 3.8808 0.0000 2.2406 1.2936 3.6588" Properties=species:S:1:pos:R:3 pbc="T T T"
Sn 6.7217 3.8808 2.7441
Ir 0.0000 0.0000 0.0000
Sn 2.2406 1.2936 0.9147
```

Calculated values
Crystal system: cubic
Formation energy (eV per atom): -0.3023
Calculated total energy (eV per atom): -6.416
DOS(E_F) (states/eV/atom): 0.47

***

Computed, not measured: an optimized crystal structure of Sn4Ir at the PBEsol level of DFT.

```
10
Lattice="6.3140 0.0000 0.0000 -3.1570 5.7247 0.0000 0.0000 0.0000 6.2525" Properties=species:S:1:pos:R:3 pbc="T T T"
Sn 5.2194 1.4596 1.0828
Sn 4.2517 1.4596 4.2091
Ir 3.1570 0.0000 0.0000
Ir 0.0000 0.0000 3.1263
Sn 2.0624 4.2650 5.1697
Sn -2.0624 4.2650 1.0828
Sn 2.0624 1.4596 2.0435
Sn -1.0946 4.2650 4.2091
Sn 1.0946 1.4596 5.1697
Sn 1.0946 4.2650 2.0435
```

Calculated values
Crystal system: orthorhombic
Formation energy (eV per atom): -0.2252
Calculated total energy (eV per atom): -5.597
DOS(E_F) (states/eV/atom): 0.39

***

Computed, not measured: an optimized crystal structure of Sr3Sn4Ir4 at the PBEsol level of DFT.

```
11
Lattice="6.9801 0.0000 0.0000 -2.3267 6.5809 0.0000 -2.3267 -3.2905 5.6993" Properties=species:S:1:pos:R:3 pbc="T T T"
Sn -0.9015 2.5498 0.0000
Sn -0.9015 -1.2749 2.2082
Ir -1.7503 4.9506 0.0000
Sn 1.4252 2.0156 3.4910
Ir 0.5764 0.8152 1.4119
Sn 2.7045 0.0000 0.0000
Ir 5.2509 0.0000 0.0000
Ir -1.7503 -2.4753 4.2873
Sr 2.3267 3.2905 0.0000
Sr -2.3267 1.6452 2.8496
Sr 2.3267 -1.6452 2.8496
```

Calculated values
Crystal system: cubic
Formation energy (eV per atom): -0.5070
Calculated total energy (eV per atom): -6.130
DOS(E_F) (states/eV/atom): 0.69

***

Computed, not measured: an optimized crystal structure of Sr3SnIr at the PBEsol level of DFT.

```
5
Lattice="6.0298 0.0000 0.0000 0.0000 6.0298 0.0000 0.0000 0.0000 6.0298" Properties=species:S:1:pos:R:3 pbc="T T T"
Sr 0.0000 3.0149 0.0000
Ir 3.0149 3.0149 3.0149
Sn 0.0000 0.0000 0.0000
Sr 0.0000 0.0000 3.0149
Sr 3.0149 0.0000 0.0000
```

Calculated values
Crystal system: cubic
Formation energy (eV per atom): 0.7640
Calculated total energy (eV per atom): -3.157
DOS(E_F) (states/eV/atom): 2.39

***

What is the DOS(E_F) in the fourth record? 0.52 states/eV/atom